# 1
The following is a GGA-PBE calculation of Hf2SbAs after structural relaxation, from Alexandria.

Computed properties:
calculated total energy: -7.60 eV/atom
total magnetic moment: 0.0 μB per cell
DOS at the Fermi energy: 20.90 states/eV per cell
calculated volume: 328 Å³/cell
formation energy without anion corrections: -41 kJ/mol of atoms

Geometry as CIF:
```
data_Hf2SbAs
_chemical_formula_sum 'Hf8 Sb4 As4'
_space_group_name_H-M_alt 'F m -3 m'
_space_group_IT_number 225
_space_group_name_Hall '-F 4 2 3'
_cell_length_a 6.8966
_cell_length_b 6.8966
_cell_length_c 6.8966
_cell_angle_alpha 90.00
_cell_angle_beta 90.00
_cell_angle_gamma 90.00
loop_
_atom_site_label
_atom_site_type_symbol
_atom_site_fract_x
_atom_site_fract_y
_atom_site_fract_z
Hf1 Hf 0.2500 0.2500 0.2500
Sb1 Sb 0.0000 0.0000 0.0000
As1 As 0.0000 0.0000 0.5000
```

=====

# 2
The following is a GGA-PBE calculation of SbPb2S3 after structural relaxation, from Alexandria.

Computed properties:
calculated total energy: -4.31 eV/atom
total magnetic moment: 0.0 μB per cell
DOS at the Fermi energy: 5.71 states/eV per cell
calculated volume: 626 Å³/cell
formation energy without anion corrections: -31 kJ/mol of atoms

Geometry as CIF:
```
data_SbPb2S3
_chemical_formula_sum 'Sb4 Pb8 S12'
_space_group_name_H-M_alt 'C 1 2/c 1'
_space_group_IT_number 15
_cell_length_a 12.9710
_cell_length_b 6.0840
_cell_length_c 8.3813
_cell_angle_alpha 90.00
_cell_angle_beta 108.82
_cell_angle_gamma 90.00
loop_
_space_group_symop_operation_xyz
'x,y,z'
'-x,-y,-z'
'-x,y,-z+1/2'
'x,-y,z+1/2'
'x+1/2,y+1/2,z'
'-x+1/2,-y+1/2,-z'
'-x+1/2,y+1/2,-z+1/2'
'x+1/2,-y+1/2,z+1/2'
loop_
_atom_site_label
_atom_site_type_symbol
_atom_site_fract_x
_atom_site_fract_y
_atom_site_fract_z
Sb1 Sb 0.0000 0.0211 0.2500
Pb1 Pb 0.1643 0.4988 0.5823
S1 S 0.0000 0.4302 0.7500
S2 S 0.1533 0.0024 0.0771
```

=====

# 3
The following is a GGA-PBE calculation of GaSiTc4 after structural relaxation, from Alexandria.

Computed properties:
calculated total energy: -8.63 eV/atom
total magnetic moment: 0.0 μB per cell
DOS at the Fermi energy: 2.91 states/eV per cell
calculated volume: 84 Å³/cell
formation energy without anion corrections: -30 kJ/mol of atoms

Geometry as CIF:
```
data_GaSiTc4
_chemical_formula_sum 'Ga1 Si1 Tc4'
_space_group_name_H-M_alt 'P 4/m m m'
_space_group_IT_number 123
_space_group_name_Hall '-P 4 2'
_cell_length_a 2.9269
_cell_length_b 2.9269
_cell_length_c 9.7549
_cell_angle_alpha 90.00
_cell_angle_beta 90.00
_cell_angle_gamma 90.00
loop_
_atom_site_label
_atom_site_type_symbol
_atom_site_fract_x
_atom_site_fract_y
_atom_site_fract_z
Ga1 Ga 0.0000 0.0000 0.0000
Si1 Si 0.5000 0.5000 0.5000
Tc1 Tc 0.0000 0.0000 0.3444
Tc2 Tc 0.5000 0.5000 0.1719
```

=====

# 4
The following is a GGA-PBE calculation of BeSiBr after structural relaxation, from Alexandria.

Computed properties:
calculated total energy: -3.18 eV/atom
ΔE to the lowest computed polymorph: 0.1169 eV/atom
total magnetic moment: 0.0 μB per cell
DOS at the Fermi energy: 4.51 states/eV per cell
calculated volume: 276 Å³/cell
formation energy without anion corrections: 41 kJ/mol of atoms

Geometry as CIF:
```
data_BeSiBr
_chemical_formula_sum 'Be4 Si4 Br4'
_space_group_name_H-M_alt 'F m m 2'
_space_group_IT_number 42
_space_group_name_Hall 'F 2 -2'
_cell_length_a 3.1317
_cell_length_b 5.8762
_cell_length_c 14.9945
_cell_angle_alpha 90.00
_cell_angle_beta 90.00
_cell_angle_gamma 90.00
loop_
_atom_site_label
_atom_site_type_symbol
_atom_site_fract_x
_atom_site_fract_y
_atom_site_fract_z
Be1 Be 0.0000 0.0000 0.0000
Si1 Si 0.0000 0.0000 0.3743
Br1 Br 0.0000 0.0000 0.6009
```

=====

# 5
The following is a GGA-PBE calculation of AcHoRuPt after structural relaxation, from Alexandria.

Computed properties:
calculated total energy: -6.54 eV/atom
total magnetic moment: 0.0 μB per cell
ΔE_f: -0.541 eV/atom
DOS at the Fermi energy: 15.85 states/eV per cell
calculated volume: 370 Å³/cell

Geometry as CIF:
```
data_AcHoRuPt
_chemical_formula_sum 'Ac4 Ho4 Ru4 Pt4'
_space_group_name_H-M_alt 'F -4 3 m'
_space_group_IT_number 216
_space_group_name_Hall 'F -4 2 3'
_cell_length_a 7.1765
_cell_length_b 7.1765
_cell_length_c 7.1765
_cell_angle_alpha 90.00
_cell_angle_beta 90.00
_cell_angle_gamma 90.00
loop_
_atom_site_label
_atom_site_type_symbol
_atom_site_fract_x
_atom_site_fract_y
_atom_site_fract_z
Ac1 Ac 0.0000 0.0000 0.0000
Ho1 Ho 0.0000 0.0000 0.5000
Ru1 Ru 0.2500 0.2500 0.7500
Pt1 Pt 0.2500 0.2500 0.2500
```

=====

# 6
The following is a GGA-PBE calculation of ScCd2In after structural relaxation, from Alexandria.

Computed properties:
calculated total energy: -2.89 eV/atom
total magnetic moment: 0.0 μB per cell
ΔE_f: -0.160 eV/atom
DOS at the Fermi energy: 2.36 states/eV per cell
calculated volume: 93 Å³/cell

Geometry as CIF:
```
data_ScCd2In
_chemical_formula_sum 'Sc1 Cd2 In1'
_space_group_name_H-M_alt 'P 1 2/m 1'
_space_group_IT_number 10
_cell_length_a 3.2048
_cell_length_b 4.9634
_cell_length_c 5.8508
_cell_angle_alpha 90.00
_cell_angle_beta 90.09
_cell_angle_gamma 90.00
loop_
_space_group_symop_operation_xyz
'x,y,z'
'-x,-y,-z'
'-x,y,-z'
'x,-y,z'
loop_
_atom_site_label
_atom_site_type_symbol
_atom_site_fract_x
_atom_site_fract_y
_atom_site_fract_z
Sc1 Sc 0.0000 0.0000 0.0000
Cd1 Cd 0.4977 0.5000 0.2375
In1 In 0.5000 0.0000 0.5000
```

=====

# 7
The following is a GGA-PBE calculation of Rb12Br5Cl3 after structural relaxation, from Alexandria.

Computed properties:
calculated total energy: -2.53 eV/atom
total magnetic moment: 2.4 μB per cell
DOS at the Fermi energy: 47.79 states/eV per cell
calculated volume: 8867 Å³/cell
formation energy without anion corrections: -121 kJ/mol of atoms

Geometry as CIF:
```
data_Rb12Br5Cl3
_chemical_formula_sum 'Rb96 Br40 Cl24'
_space_group_name_H-M_alt 'I a -3 d'
_space_group_IT_number 230
_space_group_name_Hall '-I 4bd 2c 3'
_cell_length_a 20.6977
_cell_length_b 20.6977
_cell_length_c 20.6977
_cell_angle_alpha 90.00
_cell_angle_beta 90.00
_cell_angle_gamma 90.00
loop_
_atom_site_label
_atom_site_type_symbol
_atom_site_fract_x
_atom_site_fract_y
_atom_site_fract_z
Rb1 Rb 0.0239 0.0759 0.6506
Br1 Br 0.0000 0.0000 0.0000
Br2 Br 0.0000 0.2500 0.3750
Cl1 Cl 0.0000 0.2500 0.1250
```

=====

# 8
The following is a GGA-PBE calculation of CuTc2Sn after structural relaxation, from Alexandria.

Computed properties:
calculated total energy: -6.49 eV/atom
total magnetic moment: 3.7 μB per cell
ΔE_f: 0.723 eV/atom
DOS at the Fermi energy: 17.36 states/eV per cell
calculated volume: 270 Å³/cell

Geometry as CIF:
```
data_CuTc2Sn
_chemical_formula_sum 'Cu4 Tc8 Sn4'
_space_group_name_H-M_alt 'I -4 2 d'
_space_group_IT_number 122
_space_group_name_Hall 'I -4 2bw'
_cell_length_a 7.2496
_cell_length_b 7.2496
_cell_length_c 5.1281
_cell_angle_alpha 90.00
_cell_angle_beta 90.00
_cell_angle_gamma 90.00
loop_
_atom_site_label
_atom_site_type_symbol
_atom_site_fract_x
_atom_site_fract_y
_atom_site_fract_z
Cu1 Cu 0.0000 0.0000 0.0000
Tc1 Tc 0.2269 0.2500 0.1250
Sn1 Sn 0.0000 0.0000 0.5000
```

=====

# 9
The following is a GGA-PBE calculation of Sm3Cd4In after structural relaxation, from Alexandria.

Computed properties:
calculated total energy: -2.75 eV/atom
total magnetic moment: 0.0 μB per cell
ΔE_f: -0.182 eV/atom
DOS at the Fermi energy: 13.04 states/eV per cell
calculated volume: 453 Å³/cell

Geometry as CIF:
```
data_Sm3Cd4In
_chemical_formula_sum 'Sm6 Cd8 In2'
_space_group_name_H-M_alt 'I m m m'
_space_group_IT_number 71
_space_group_name_Hall '-I 2 2'
_cell_length_a 3.6579
_cell_length_b 10.0632
_cell_length_c 12.3175
_cell_angle_alpha 90.00
_cell_angle_beta 90.00
_cell_angle_gamma 90.00
loop_
_atom_site_label
_atom_site_type_symbol
_atom_site_fract_x
_atom_site_fract_y
_atom_site_fract_z
Sm1 Sm 0.0000 0.0000 0.0000
Sm2 Sm 0.0000 0.5000 0.2144
Cd1 Cd 0.0000 0.2593 0.3737
In1 In 0.0000 0.0000 0.5000
```

=====

# 10
The following is a GGA-PBE calculation of MnCo2Sb after structural relaxation, from Alexandria.

Computed properties:
calculated total energy: -6.45 eV/atom
total magnetic moment: 17.6 μB per cell
DOS at the Fermi energy: 13.72 states/eV per cell
calculated volume: 180 Å³/cell
formation energy without anion corrections: 41 kJ/mol of atoms

Geometry as CIF:
```
data_MnCo2Sb
_chemical_formula_sum 'Mn3 Co6 Sb3'
_space_group_name_H-M_alt 'R -3 m'
_space_group_IT_number 166
_space_group_name_Hall '-R 3 2"'
_cell_length_a 3.0036
_cell_length_b 3.0036
_cell_length_c 23.0719
_cell_angle_alpha 90.00
_cell_angle_beta 90.00
_cell_angle_gamma 120.00
loop_
_atom_site_label
_atom_site_type_symbol
_atom_site_fract_x
_atom_site_fract_y
_atom_site_fract_z
Mn1 Mn 0.0000 0.0000 0.0000
Co1 Co 0.0000 0.0000 0.2526
Sb1 Sb 0.0000 0.0000 0.5000
```

=====

# 11
The following is a GGA-PBE calculation of LiNdCdRh after structural relaxation, from Alexandria.

Computed properties:
calculated total energy: -4.10 eV/atom
total magnetic moment: 0.0 μB per cell
ΔE_f: -0.365 eV/atom
DOS at the Fermi energy: 9.18 states/eV per cell
calculated volume: 324 Å³/cell

Geometry as CIF:
```
data_LiNdCdRh
_chemical_formula_sum 'Li4 Nd4 Cd4 Rh4'
_space_group_name_H-M_alt 'F -4 3 m'
_space_group_IT_number 216
_space_group_name_Hall 'F -4 2 3'
_cell_length_a 6.8705
_cell_length_b 6.8705
_cell_length_c 6.8705
_cell_angle_alpha 90.00
_cell_angle_beta 90.00
_cell_angle_gamma 90.00
loop_
_atom_site_label
_atom_site_type_symbol
_atom_site_fract_x
_atom_site_fract_y
_atom_site_fract_z
Li1 Li 0.0000 0.0000 0.0000
Nd1 Nd 0.2500 0.2500 0.2500
Cd1 Cd 0.2500 0.2500 0.7500
Rh1 Rh 0.0000 0.0000 0.5000
```

=====

# 12
The following is a GGA-PBE calculation of Tb2Sm2Tm2In after structural relaxation, from Alexandria.

Computed properties:
calculated total energy: -4.37 eV/atom
total magnetic moment: 0.0 μB per cell
ΔE_f: -0.033 eV/atom
DOS at the Fermi energy: 18.74 states/eV per cell
calculated volume: 447 Å³/cell

Geometry as CIF:
```
data_Tb2Sm2Tm2In
_chemical_formula_sum 'Tb4 Sm4 Tm4 In2'
_space_group_name_H-M_alt 'C 1 2/m 1'
_space_group_IT_number 12
_cell_length_a 12.1734
_cell_length_b 3.6692
_cell_length_c 11.3412
_cell_angle_alpha 90.00
_cell_angle_beta 117.97
_cell_angle_gamma 90.00
loop_
_space_group_symop_operation_xyz
'x,y,z'
'-x,-y,-z'
'-x,y,-z'
'x,-y,z'
'x+1/2,y+1/2,z'
'-x+1/2,-y+1/2,-z'
'-x+1/2,y+1/2,-z'
'x+1/2,-y+1/2,z'
loop_
_atom_site_label
_atom_site_type_symbol
_atom_site_fract_x
_atom_site_fract_y
_atom_site_fract_z
Tb1 Tb 0.0194 0.0000 0.2396
Sm1 Sm 0.1846 0.0000 0.5915
Tm1 Tm 0.2396 0.0000 0.1187
In1 In 0.0000 0.5000 0.0000
```

=====

Q: total magnetic moment of number 7 (Rb12Br5Cl3)?
A: 2.4 μB per cell

=====

Q: The highest DOS at the Fermi energy belongs to which entry?
A: Rb12Br5Cl3

=====

Q: calculated volume of number 8 (CuTc2Sn)?
A: 270 Å³/cell

=====

Q: Look up the total magnetic moment of the fifth one.
A: 0.0 μB per cell